First-principles (PBE-GGA) data for a relaxed Th2BeAl crystal, as listed in Alexandria.

abc: 3.2949 3.2949 33.4632
angles: 90.00 90.00 120.00
Closest atoms and distances in Å follow each position.
Space group R-3m (No. 166, hexagonal axes)
Unique sites:
Th: 0.0000 0.0000 0.0889 x6  1 Be 2.97, 3 Al 3.22, 6 Th 3.29
Be: 0.0000 0.0000 0.0000 x3  2 Th 2.97, 6 Be 3.29
Al: 0.0000 0.0000 0.5000 x3  6 Th 3.22, 6 Al 3.29

## Properties
ΔE_f (meV per atom): 672

***

First-principles (PBE-GGA) data for a relaxed PrNd8Tm3 crystal, as listed in Alexandria.

abc: 6.3407 7.3239 9.0697
angles: 101.74 96.68 90.04
Closest atoms and distances in Å follow each position.
Space group P1 (No. 1)
Unique sites:
Pr: 0.0000 0.0000 0.0000 x1  9 Nd 3.59-3.67, 3 Tm 3.60-3.67
Nd: 0.0044 0.5031 0.0057 x1  4 Tm 3.58-3.67, 6 Nd 3.60-3.67, 2 Pr 3.65-3.67
Nd: 0.1164 0.1687 0.6730 x1  1 Pr 3.59, 3 Tm 3.61-3.68, 8 Nd 3.62-3.71
Nd: 0.3909 0.0858 0.3362 x1  3 Tm 3.59-3.68, 8 Nd 3.61-3.69, 1 Pr 3.65
Nd: 0.5001 0.7485 0.0043 x1  4 Tm 3.60-3.70, 6 Nd 3.62-3.67, 2 Pr 3.67
Nd: 0.6103 0.9132 0.6705 x1  1 Pr 3.60, 4 Tm 3.61-3.67, 7 Nd 3.62-3.71
Nd: 0.6134 0.4165 0.6701 x1  8 Nd 3.61-3.69, 4 Tm 3.63-3.66
Nd: 0.8914 0.3396 0.3378 x1  4 Tm 3.59-3.66, 7 Nd 3.60-3.71, 1 Pr 3.67
Nd: 0.8951 0.8332 0.3396 x1  3 Tm 3.60-3.69, 8 Nd 3.61-3.71, 1 Pr 3.66
Tm: 0.1136 0.6658 0.6711 x1  10 Nd 3.59-3.68, 1 Pr 3.60, 1 Tm 3.62
Tm: 0.3886 0.5837 0.3362 x1  2 Tm 3.58-3.62, 10 Nd 3.58-3.69
Tm: 0.5021 0.2540 0.0073 x1  1 Tm 3.58, 9 Nd 3.59-3.70, 2 Pr 3.67

## Properties
ΔE_f (meV per atom): 12

***

First-principles (PBE-GGA) data for a relaxed ZnReO2 crystal, as listed in Alexandria.

abc: 4.9387 4.9387 8.3150
angles: 90.00 90.00 90.00
Closest atoms and distances in Å follow each position.
Space group I-42d (No. 122)
Unique sites:
Zn: 0.0000 0.0000 0.0000 x4  4 O 1.98
Re: 0.0000 0.0000 0.5000 x4  4 O 2.08
O: 0.2333 0.2500 0.1250 x8  2 Zn 1.98, 2 Re 2.08

## Properties
E_form (uncorrected) (eV per atom): -0.28

***

| no. | total magnetic moment (μB/f.u.) | ρ (g/cm3) | calculated total energy (eV for the cell shown) |
| --- | --- | --- | --- |
| 1 | 0.00 | 7.9 | -58.9 |
| 2 | 0.00 | 7.3 | -56.2 |
| 3 | 1.02 | 9.3 | -99.0 |